Material: Li2SbHRu
Method: DFT, PBE-GGA
State: optimized geometry

Cell and atoms, written as CIF:
```
data_Li2SbHRu
_cell_length_a 4.007
_cell_length_b 4.007
_cell_length_c 3.834
_cell_angle_alpha 90.00
_cell_angle_beta 90.00
_cell_angle_gamma 90.00
_symmetry_space_group_name_H-M 'P 4/m m m'
_symmetry_Int_Tables_number 123
_symmetry_space_group_name_Hall '-P 4 2'
loop_
_atom_site_label
_atom_site_type_symbol
_atom_site_fract_x
_atom_site_fract_y
_atom_site_fract_z
_atom_site_occupancy
Li1 Li 0.000 0.500 0.000 1
Sb1 Sb 0.000 0.000 0.500 1
H1 H 0.500 0.500 0.000 1
Ru1 Ru 0.500 0.500 0.500 1
```

Properties
Uncorrected energy = -21.92 eV for the cell shown

Material: InPtC3
Method: DFT, PBE-GGA
State: optimized geometry

Cell and atoms, written as CIF:
```
data_InPtC3
_cell_length_a 4.252
_cell_length_b 4.252
_cell_length_c 4.252
_cell_angle_alpha 90.00
_cell_angle_beta 90.00
_cell_angle_gamma 90.00
_symmetry_space_group_name_H-M 'P m -3 m'
_symmetry_Int_Tables_number 221
_symmetry_space_group_name_Hall '-P 4 2 3'
loop_
_atom_site_label
_atom_site_type_symbol
_atom_site_fract_x
_atom_site_fract_y
_atom_site_fract_z
_atom_site_occupancy
In1 In 0.000 0.000 0.000 1
Pt1 Pt 0.500 0.500 0.500 1
C1 C 0.000 0.000 0.500 1
```

Properties
DFT formation energy = 3.335 eV per atom
Energy above the most stable polymorph in this dataset = 1033 meV/atom

Material: CaTiO2
Method: DFT, PBE-GGA
State: optimized geometry

Cell and atoms, written as CIF:
```
data_CaTiO2
_cell_length_a 4.983
_cell_length_b 4.983
_cell_length_c 9.700
_cell_angle_alpha 90.00
_cell_angle_beta 90.00
_cell_angle_gamma 90.00
_symmetry_space_group_name_H-M 'I -4 2 d'
_symmetry_Int_Tables_number 122
_symmetry_space_group_name_Hall 'I -4 2bw'
loop_
_atom_site_label
_atom_site_type_symbol
_atom_site_fract_x
_atom_site_fract_y
_atom_site_fract_z
_atom_site_occupancy
Ca1 Ca 0.000 0.000 0.000 1
Ti1 Ti 0.000 0.000 0.500 1
O1 O 0.196 0.250 0.625 1
```

Properties
Energy relative to the elements, uncorrected = -2376.3 meV per atom
Energy above the most stable polymorph in this dataset = 228 meV/atom

Material: Tb5Sm3H12
Method: DFT, PBE-GGA
State: optimized geometry

Cell and atoms, written as CIF:
```
data_Tb5Sm3H12
_cell_length_a 13.256
_cell_length_b 13.256
_cell_length_c 13.256
_cell_angle_alpha 90.00
_cell_angle_beta 90.00
_cell_angle_gamma 90.00
_symmetry_space_group_name_H-M 'I a -3 d'
_symmetry_Int_Tables_number 230
_symmetry_space_group_name_Hall '-I 4bd 2c 3'
loop_
_atom_site_label
_atom_site_type_symbol
_atom_site_fract_x
_atom_site_fract_y
_atom_site_fract_z
_atom_site_occupancy
Tb1 Tb 0.000 0.000 0.000 1
Tb2 Tb 0.000 0.250 0.375 1
Sm1 Sm 0.000 0.250 0.125 1
H1 H 0.005 0.068 0.654 1
```

Properties
Uncorrected energy = -694.21 eV for the cell shown

Material: Cu2ReP
Method: DFT, PBE-GGA
State: optimized geometry

Cell and atoms, written as CIF:
```
data_Cu2ReP
_cell_length_a 2.7586
_cell_length_b 2.7586
_cell_length_c 24.3282
_cell_angle_alpha 90.00
_cell_angle_beta 90.00
_cell_angle_gamma 120.00
_symmetry_space_group_name_H-M 'R -3 m'
_symmetry_Int_Tables_number 166
_symmetry_space_group_name_Hall '-R 3 2"'
loop_
_atom_site_label
_atom_site_type_symbol
_atom_site_fract_x
_atom_site_fract_y
_atom_site_fract_z
_atom_site_occupancy
Cu1 Cu 0.0000 0.0000 0.2445 1
Re1 Re 0.0000 0.0000 0.0000 1
P1 P 0.0000 0.0000 0.5000 1
```

Properties
DFT formation energy = 0.319 eV per atom

Material: NaSbIrI2
Method: DFT, PBE-GGA
State: optimized geometry

Cell and atoms, written as CIF:
```
data_NaSbIrI2
_cell_length_a 5.464
_cell_length_b 5.464
_cell_length_c 5.792
_cell_angle_alpha 90.00
_cell_angle_beta 90.00
_cell_angle_gamma 90.00
_symmetry_space_group_name_H-M 'P 4/m m m'
_symmetry_Int_Tables_number 123
_symmetry_space_group_name_Hall '-P 4 2'
loop_
_atom_site_label
_atom_site_type_symbol
_atom_site_fract_x
_atom_site_fract_y
_atom_site_fract_z
_atom_site_occupancy
Na1 Na 0.000 0.000 0.000 1
Sb1 Sb 0.000 0.000 0.500 1
Ir1 Ir 0.500 0.500 0.500 1
I1 I 0.000 0.500 0.000 1
```

Properties
Energy relative to the elements, uncorrected = 1337.9 meV per atom
Energy above the most stable polymorph in this dataset = 1367 meV/atom

Material: HoZn2Pd9
Method: DFT, PBE-GGA
State: optimized geometry

Cell and atoms, written as CIF:
```
data_HoZn2Pd9
_cell_length_a 4.011
_cell_length_b 4.011
_cell_length_c 11.799
_cell_angle_alpha 90.00
_cell_angle_beta 90.00
_cell_angle_gamma 90.00
_symmetry_space_group_name_H-M 'P 4/m m m'
_symmetry_Int_Tables_number 123
_symmetry_space_group_name_Hall '-P 4 2'
loop_
_atom_site_label
_atom_site_type_symbol
_atom_site_fract_x
_atom_site_fract_y
_atom_site_fract_z
_atom_site_occupancy
Ho1 Ho 0.000 0.000 0.000 1
Zn1 Zn 0.000 0.000 0.342 1
Pd1 Pd 0.000 0.500 0.180 1
Pd2 Pd 0.000 0.500 0.500 1
Pd3 Pd 0.500 0.500 0.000 1
Pd4 Pd 0.500 0.500 0.339 1
```

Properties
DFT formation energy = -0.483 eV per atom

Material: BeCdAu2
Method: DFT, PBE-GGA
State: optimized geometry

Cell and atoms, written as CIF:
```
data_BeCdAu2
_cell_length_a 10.401
_cell_length_b 3.122
_cell_length_c 4.470
_cell_angle_alpha 90.00
_cell_angle_beta 113.28
_cell_angle_gamma 90.00
_symmetry_space_group_name_H-M 'C 1 m 1'
_symmetry_Int_Tables_number 8
_symmetry_space_group_name_Hall 'C -2y'
loop_
_atom_site_label
_atom_site_type_symbol
_atom_site_fract_x
_atom_site_fract_y
_atom_site_fract_z
_atom_site_occupancy
Be1 Be 0.000 0.000 0.000 1
Cd1 Cd 0.234 0.500 0.176 1
Au1 Au 0.031 0.500 0.477 1
Au2 Au 0.321 0.000 0.760 1
```

Properties
DFT formation energy = -0.032 eV per atom
Energy above the most stable polymorph in this dataset = 124 meV/atom

Material: CaAlZn3
Method: DFT, PBE-GGA
State: optimized geometry

Cell and atoms, written as CIF:
```
data_CaAlZn3
_cell_length_a 5.559
_cell_length_b 5.559
_cell_length_c 5.559
_cell_angle_alpha 90.00
_cell_angle_beta 90.00
_cell_angle_gamma 90.00
_symmetry_space_group_name_H-M 'P m -3 m'
_symmetry_Int_Tables_number 221
_symmetry_space_group_name_Hall '-P 4 2 3'
loop_
_atom_site_label
_atom_site_type_symbol
_atom_site_fract_x
_atom_site_fract_y
_atom_site_fract_z
_atom_site_occupancy
Ca1 Ca 0.000 0.000 0.000 1
Al1 Al 0.500 0.500 0.500 1
Zn1 Zn 0.000 0.000 0.500 1
```

Properties
DFT formation energy = 0.944 eV per atom
Energy above the most stable polymorph in this dataset = 1167 meV/atom

Material: CsDyTiO4
Method: DFT, PBE-GGA
State: optimized geometry

Cell and atoms, written as CIF:
```
data_CsDyTiO4
_cell_length_a 5.950
_cell_length_b 6.087
_cell_length_c 8.152
_cell_angle_alpha 90.00
_cell_angle_beta 109.57
_cell_angle_gamma 90.00
_symmetry_space_group_name_H-M 'P 1 21/m 1'
_symmetry_Int_Tables_number 11
_symmetry_space_group_name_Hall '-P 2yb'
loop_
_atom_site_label
_atom_site_type_symbol
_atom_site_fract_x
_atom_site_fract_y
_atom_site_fract_z
_atom_site_occupancy
Cs1 Cs 0.196 0.250 0.435 1
Dy1 Dy 0.312 0.250 0.961 1
Ti1 Ti 0.231 0.750 0.145 1
O1 O 0.007 0.750 0.936 1
O2 O 0.035 0.750 0.277 1
O3 O 0.448 0.524 0.155 1
```

Properties
Energy relative to the elements, uncorrected = -2934.0 meV per atom

Material: Cs2KTeCl6
Method: DFT, PBE-GGA
State: optimized geometry

Cell and atoms, written as CIF:
```
data_Cs2KTeCl6
_cell_length_a 7.8487
_cell_length_b 7.8487
_cell_length_c 43.8165
_cell_angle_alpha 90.00
_cell_angle_beta 90.00
_cell_angle_gamma 120.00
_symmetry_space_group_name_H-M 'R -3 m'
_symmetry_Int_Tables_number 166
_symmetry_space_group_name_Hall '-R 3 2"'
loop_
_atom_site_label
_atom_site_type_symbol
_atom_site_fract_x
_atom_site_fract_y
_atom_site_fract_z
_atom_site_occupancy
Cs1 Cs 0.0000 0.0000 0.1453 1
Cs2 Cs 0.0000 0.0000 0.2718 1
K1 K 0.0000 0.0000 0.4107 1
Te1 Te 0.0000 0.0000 0.0000 1
Te2 Te 0.0000 0.0000 0.5000 1
Cl1 Cl 0.0032 0.5016 0.1232 1
Cl2 Cl 0.0258 0.5129 0.7004 1
```

Properties
Energy relative to the elements, uncorrected = -1325.9 meV per atom
Energy above the most stable polymorph in this dataset = 0 meV/atom

Material: SrZnPd2F8
Method: DFT, PBE-GGA
State: optimized geometry

Cell and atoms, written as CIF:
```
data_SrZnPd2F8
_cell_length_a 6.3870
_cell_length_b 6.3870
_cell_length_c 6.6182
_cell_angle_alpha 90.00
_cell_angle_beta 90.00
_cell_angle_gamma 120.00
_symmetry_space_group_name_H-M 'P -3 m 1'
_symmetry_Int_Tables_number 164
_symmetry_space_group_name_Hall '-P 3 2"'
loop_
_atom_site_label
_atom_site_type_symbol
_atom_site_fract_x
_atom_site_fract_y
_atom_site_fract_z
_atom_site_occupancy
Sr1 Sr 0.0000 0.0000 0.0000 1
Zn1 Zn 0.0000 0.0000 0.5000 1
Pd1 Pd 0.3333 0.6667 0.2539 1
F1 F 0.1400 0.2800 0.2971 1
F2 F 0.3333 0.6667 0.9460 1
```

Properties
Energy relative to the elements, uncorrected = -1832.9 meV per atom

Material: Pm8Nd2Sc
Method: DFT, PBE-GGA
State: optimized geometry

Cell and atoms, written as CIF:
```
data_Pm8Nd2Sc
_cell_length_a 16.597
_cell_length_b 6.822
_cell_length_c 6.793
_cell_angle_alpha 90.00
_cell_angle_beta 102.85
_cell_angle_gamma 90.00
_symmetry_space_group_name_H-M 'C 1 2/m 1'
_symmetry_Int_Tables_number 12
_symmetry_space_group_name_Hall '-C 2y'
loop_
_atom_site_label
_atom_site_type_symbol
_atom_site_fract_x
_atom_site_fract_y
_atom_site_fract_z
_atom_site_occupancy
Pm1 Pm 0.080 0.240 0.389 1
Pm2 Pm 0.095 0.000 0.921 1
Pm3 Pm 0.244 0.500 0.326 1
Nd1 Nd 0.185 0.500 0.809 1
Sc1 Sc 0.000 0.500 0.000 1
```

Properties
DFT formation energy = 0.159 eV per atom
Energy above the most stable polymorph in this dataset = 132 meV/atom

Material: Sc3Se
Method: DFT, PBE-GGA
State: optimized geometry

Cell and atoms, written as CIF:
```
data_Sc3Se
_cell_length_a 8.655
_cell_length_b 7.579
_cell_length_c 5.449
_cell_angle_alpha 90.00
_cell_angle_beta 90.00
_cell_angle_gamma 90.00
_symmetry_space_group_name_H-M 'C m c m'
_symmetry_Int_Tables_number 63
_symmetry_space_group_name_Hall '-C 2c 2'
loop_
_atom_site_label
_atom_site_type_symbol
_atom_site_fract_x
_atom_site_fract_y
_atom_site_fract_z
_atom_site_occupancy
Sc1 Sc 0.000 0.029 0.250 1
Sc2 Sc 0.179 0.337 0.750 1
Se1 Se 0.000 0.365 0.250 1
```

Properties
Energy relative to the elements, uncorrected = -410.8 meV per atom
Energy above the most stable polymorph in this dataset = 392 meV/atom

Material: KYZr
Method: DFT, PBE-GGA
State: optimized geometry

Cell and atoms, written as CIF:
```
data_KYZr
_cell_length_a 3.4581
_cell_length_b 3.4581
_cell_length_c 9.7123
_cell_angle_alpha 90.00
_cell_angle_beta 90.00
_cell_angle_gamma 120.00
_symmetry_space_group_name_H-M 'P 3 m 1'
_symmetry_Int_Tables_number 156
_symmetry_space_group_name_Hall 'P 3 -2"'
loop_
_atom_site_label
_atom_site_type_symbol
_atom_site_fract_x
_atom_site_fract_y
_atom_site_fract_z
_atom_site_occupancy
K1 K 0.0000 0.0000 0.0000 1
Y1 Y 0.3333 0.6667 0.3861 1
Zr1 Zr 0.6667 0.3333 0.6471 1
```

Properties
DFT formation energy = 0.434 eV per atom
Energy above the most stable polymorph in this dataset = 270 meV/atom

Material: Co2SiIr
Method: DFT, PBE-GGA
State: optimized geometry

Cell and atoms, written as CIF:
```
data_Co2SiIr
_cell_length_a 2.803
_cell_length_b 2.803
_cell_length_c 6.144
_cell_angle_alpha 90.00
_cell_angle_beta 90.00
_cell_angle_gamma 90.00
_symmetry_space_group_name_H-M 'P 4 m m'
_symmetry_Int_Tables_number 99
_symmetry_space_group_name_Hall 'P 4 -2'
loop_
_atom_site_label
_atom_site_type_symbol
_atom_site_fract_x
_atom_site_fract_y
_atom_site_fract_z
_atom_site_occupancy
Co1 Co 0.000 0.000 0.000 1
Co2 Co 0.500 0.500 0.251 1
Si1 Si 0.500 0.500 0.789 1
Ir1 Ir 0.000 0.000 0.543 1
```

Properties
Energy relative to the elements, uncorrected = -236.1 meV per atom

Material: MgMnGaSiS
Method: DFT, PBE-GGA
State: optimized geometry

Cell and atoms, written as CIF:
```
data_MgMnGaSiS
_cell_length_a 7.869
_cell_length_b 3.489
_cell_length_c 6.584
_cell_angle_alpha 90.00
_cell_angle_beta 106.10
_cell_angle_gamma 90.00
_symmetry_space_group_name_H-M 'C 1 m 1'
_symmetry_Int_Tables_number 8
_symmetry_space_group_name_Hall 'C -2y'
loop_
_atom_site_label
_atom_site_type_symbol
_atom_site_fract_x
_atom_site_fract_y
_atom_site_fract_z
_atom_site_occupancy
Mg1 Mg 0.000 0.000 0.000 1
Mn1 Mn 0.481 0.000 0.345 1
Ga1 Ga 0.195 0.000 0.509 1
Si1 Si 0.264 0.500 0.258 1
S1 S 0.480 0.000 0.717 1
```

Properties
Energy relative to the elements, uncorrected = -236.2 meV per atom
Energy above the most stable polymorph in this dataset = 84 meV/atom

Material: Mn2CoHgP
Method: DFT, PBE-GGA
State: optimized geometry

Cell and atoms, written as CIF:
```
data_Mn2CoHgP
_cell_length_a 4.500
_cell_length_b 4.500
_cell_length_c 4.811
_cell_angle_alpha 90.00
_cell_angle_beta 90.00
_cell_angle_gamma 90.00
_symmetry_space_group_name_H-M 'P 4/m m m'
_symmetry_Int_Tables_number 123
_symmetry_space_group_name_Hall '-P 4 2'
loop_
_atom_site_label
_atom_site_type_symbol
_atom_site_fract_x
_atom_site_fract_y
_atom_site_fract_z
_atom_site_occupancy
Mn1 Mn 0.000 0.500 0.000 1
Co1 Co 0.000 0.000 0.000 1
Hg1 Hg 0.000 0.000 0.500 1
P1 P 0.500 0.500 0.500 1
```

Properties
DFT formation energy = 0.973 eV per atom

Material: Rb2Ce2Te5
Method: DFT, PBE-GGA
State: optimized geometry

Cell and atoms, written as CIF:
```
data_Rb2Ce2Te5
_cell_length_a 17.997
_cell_length_b 8.628
_cell_length_c 8.640
_cell_angle_alpha 90.00
_cell_angle_beta 90.00
_cell_angle_gamma 90.00
_symmetry_space_group_name_H-M 'C m c e'
_symmetry_Int_Tables_number 64
_symmetry_space_group_name_Hall '-C 2ac 2'
loop_
_atom_site_label
_atom_site_type_symbol
_atom_site_fract_x
_atom_site_fract_y
_atom_site_fract_z
_atom_site_occupancy
Rb1 Rb 0.205 0.000 0.000 1
Ce1 Ce 0.000 0.159 0.341 1
Te1 Te 0.000 0.000 0.000 1
Te2 Te 0.111 0.145 0.645 1
```

Properties
Energy relative to the elements, uncorrected = -1192.8 meV per atom

Material: Tb3YIr3
Method: DFT, PBE-GGA
State: optimized geometry

Cell and atoms, written as CIF:
```
data_Tb3YIr3
_cell_length_a 9.7125
_cell_length_b 9.7125
_cell_length_c 5.9340
_cell_angle_alpha 90.00
_cell_angle_beta 90.00
_cell_angle_gamma 120.00
_symmetry_space_group_name_H-M 'R -3 m'
_symmetry_Int_Tables_number 166
_symmetry_space_group_name_Hall '-R 3 2"'
loop_
_atom_site_label
_atom_site_type_symbol
_atom_site_fract_x
_atom_site_fract_y
_atom_site_fract_z
_atom_site_occupancy
Tb1 Tb 0.0000 0.5000 0.0000 1
Y1 Y 0.0000 0.0000 0.0000 1
Ir1 Ir 0.0000 0.5000 0.5000 1
```

Properties
DFT formation energy = -0.704 eV per atom

Material: PuCd2BiO6
Method: DFT, PBE-GGA
State: optimized geometry

Cell and atoms, written as CIF:
```
data_PuCd2BiO6
_cell_length_a 6.306
_cell_length_b 6.306
_cell_length_c 4.346
_cell_angle_alpha 90.00
_cell_angle_beta 90.00
_cell_angle_gamma 90.00
_symmetry_space_group_name_H-M 'P 4 m m'
_symmetry_Int_Tables_number 99
_symmetry_space_group_name_Hall 'P 4 -2'
loop_
_atom_site_label
_atom_site_type_symbol
_atom_site_fract_x
_atom_site_fract_y
_atom_site_fract_z
_atom_site_occupancy
Pu1 Pu 0.000 0.000 0.000 1
Cd1 Cd 0.000 0.500 0.232 1
Bi1 Bi 0.500 0.500 0.944 1
O1 O 0.000 0.000 0.508 1
O2 O 0.241 0.241 0.037 1
O3 O 0.500 0.500 0.450 1
```

Properties
Energy relative to the elements, uncorrected = -1395.3 meV per atom